[1]
# Cs2HgAs2

A relaxed Cs2HgAs2 crystal (PBE, Alexandria).

Cell: 9.4768 9.4768 4.7931 Å, 90.00 90.00 90.00°
Atoms (fractional coordinates):
Cs1 0.2000 0.3000 0.0000
Cs2 0.3000 0.8000 0.0000
Cs3 0.7000 0.2000 0.0000
Cs4 0.8000 0.7000 0.0000
Hg1 0.0000 0.0000 0.5000
Hg2 0.5000 0.5000 0.5000
As1 0.0855 0.5855 0.5000
As2 0.4145 0.0855 0.5000
As3 0.5855 0.9145 0.5000
As4 0.9145 0.4145 0.5000

## Properties
The value obtained for the polymorph energy (0 for the lowest one) is 3.8 kJ per mole of atoms. As for the density of states at the Fermi level: 5.74 states/eV/f.u. The formation energy from the elements is -129 kJ/mol of formula units. As for the space group: P4/mbm. The density comes out at 4.75 g/cm3.


[2]
# CsHgAs3

A relaxed CsHgAs3 crystal (PBE, Alexandria).

Cell: 5.4245 5.4245 5.4245 Å, 90.00 90.00 90.00°
Atoms (fractional coordinates):
Cs1 0.0000 0.0000 0.0000
Hg1 0.5000 0.5000 0.5000
As1 0.0000 0.5000 0.5000
As2 0.5000 0.0000 0.5000
As3 0.5000 0.5000 0.0000

## Properties
The value obtained for the polymorph energy (0 for the lowest one) is 0.0 kJ per mole of atoms. As for the density of states at the Fermi level: 4.69 states/eV/f.u. The formation energy from the elements is 255 kJ/mol of formula units. As for the space group: Pm-3m. The density comes out at 5.81 g/cm3.